1.
Density functional theory data (PBEsol) for a relaxed structure of BeAgSe2.

The structure in extended XYZ format:
```
4
Lattice="3.585 0.000 0.000 0.000 4.516 -0.005 0.000 -1.234 4.344" Properties=species:S:1:pos:R:3 pbc="T T T"
Ag 1.792 0.000 0.000
Be 1.792 1.641 2.170
Se 0.000 -0.617 2.172
Se 0.000 2.258 -0.003
```

crystal system	orthorhombic
E_form (uncorrected)	0.3774	eV/atom
symmetry	Cmmm, No. 65

2.
Density functional theory data (PBEsol) for a relaxed structure of RbCuRuAu2.

The structure in extended XYZ format:
```
5
Lattice="-3.829 2.906 -0.313 -0.790 -1.591 -5.117 -3.190 -4.016 1.742" Properties=species:S:1:pos:R:3 pbc="T T T"
Au -1.595 -2.008 0.871
Au -0.395 -0.796 -2.559
Cu -3.905 -1.351 -1.844
Ru -1.914 1.453 -0.156
Rb 0.000 0.000 0.000
```

crystal system	tetragonal
energy relative to the elements	2.51	eV/atom
symmetry	P4/mmm, No. 123

3.
Density functional theory data (PBEsol) for a relaxed structure of BePt3Rh.

The structure in extended XYZ format:
```
5
Lattice="4.704 0.000 0.000 0.000 4.704 0.000 0.000 0.000 4.704" Properties=species:S:1:pos:R:3 pbc="T T T"
Pt 2.352 0.000 0.000
Pt 0.000 0.000 2.352
Pt 0.000 2.352 0.000
Be 2.352 2.352 2.352
Rh 0.000 0.000 0.000
```

crystal system	cubic
energy relative to the elements	1.78	eV/atom
symmetry	Pm-3m, No. 221

4.
Density functional theory data (PBEsol) for a relaxed structure of Pr2FeSn4.

The structure in extended XYZ format:
```
7
Lattice="4.528 0.000 0.000 0.000 4.572 0.000 0.000 -2.286 8.335" Properties=species:S:1:pos:R:3 pbc="T T T"
Sn 0.000 0.000 7.194
Sn 2.264 0.000 4.293
Sn 0.000 2.286 4.295
Sn 2.264 2.286 0.834
Pr 0.000 0.000 1.723
Pr 2.264 2.286 6.645
Fe 2.264 2.286 3.307
```

crystal system	orthorhombic
energy relative to the elements	-0.55	eV/atom
symmetry	Amm2, No. 38

5.
Density functional theory data (PBEsol) for a relaxed structure of AsOsW.

The structure in extended XYZ format:
```
3
Lattice="-3.310 1.995 1.384 -3.503 -0.104 -2.138 -3.218 -2.109 1.433" Properties=species:S:1:pos:R:3 pbc="T T T"
W -5.015 -0.109 0.339
As -2.508 -0.054 0.170
Os 0.000 0.000 0.000
```

crystal system	cubic
energy relative to the elements	0.81	eV/atom
symmetry	F-43m, No. 216

6.
Density functional theory data (PBEsol) for a relaxed structure of Ca2CoSe.

The structure in extended XYZ format:
```
4
Lattice="3.569 0.000 0.000 0.000 3.569 0.000 0.000 0.000 6.690" Properties=species:S:1:pos:R:3 pbc="T T T"
Ca 0.000 0.000 1.676
Ca 0.000 0.000 5.014
Co 1.784 1.784 0.000
Se 1.784 1.784 3.345
```

crystal system	tetragonal
E_form (uncorrected)	-0.5447	eV/atom
symmetry	P4/mmm, No. 123